Entry 1:
VASP calculation (PBE) on Mn2Re after structural relaxation.

a = 4.5050 Å, b = 4.5050 Å, c = 4.5050 Å
α = 146.14°, β = 132.64°, γ = 59.48°
Fractional positions:
Mn 0.3273 0.3273 0.0000
Mn 0.6727 0.6727 0.0000
Re 0.0000 0.0000 0.0000

Calculated values
- Electronic total energy: -10.15 eV per atom
- Formation enthalpy at 0 K: 0.329 eV per formula unit

---

Entry 2:
VASP calculation (PBE) on Mn3Re after structural relaxation.

a = 2.5991 Å, b = 4.4609 Å, c = 4.4642 Å
α = 99.98°, β = 90.00°, γ = 106.94°
Fractional positions:
Mn 0.5070 0.0140 0.5168
Mn 0.9930 0.9860 0.9832
Mn 0.2500 0.5000 0.7500
Re 0.7500 0.5000 0.2500

Calculated values
- Electronic total energy: -9.88 eV per atom
- Formation enthalpy at 0 K: 0.422 eV per formula unit

---

Entry 3:
VASP calculation (PBE) on Mn3Re after structural relaxation.

a = 4.1200 Å, b = 4.7743 Å, c = 2.5556 Å
α = 80.58°, β = 90.00°, γ = 90.00°
Fractional positions:
Mn 0.0000 0.4882 0.4909
Mn 0.5000 0.2500 0.2500
Mn 0.0000 0.0118 0.0091
Re 0.5000 0.7500 0.7500

Calculated values
- Electronic total energy: -9.87 eV per atom
- Formation enthalpy at 0 K: 0.496 eV per formula unit

---

Entry 4:
VASP calculation (PBE) on Mn4Re5 after structural relaxation.

a = 5.9356 Å, b = 5.9356 Å, c = 5.9356 Å
α = 95.82°, β = 95.82°, γ = 142.85°
Fractional positions:
Mn 0.3501 0.0000 0.3501
Mn 0.6499 0.0000 0.6499
Mn 0.0000 0.6499 0.6499
Mn 0.0000 0.3501 0.3501
Re 0.3283 0.6717 0.0000
Re 0.3283 0.3283 0.6565
Re 0.6717 0.3283 0.0000
Re 0.6717 0.6717 0.3435
Re 0.0000 0.0000 0.0000

Calculated values
- Energy above the lowest structure with this stoichiometry: 0 meV/atom
- Electronic total energy: -10.88 eV per atom
- Formation enthalpy at 0 K: 0.994 eV per formula unit

---

Entry 5:
VASP calculation (PBE) on MnRe5 after structural relaxation.

a = 2.7509 Å, b = 7.2455 Å, c = 4.4214 Å
α = 90.00°, β = 90.00°, γ = 100.94°
Fractional positions:
Re 0.6627 0.3254 0.0000
Re 0.7775 0.5550 0.5000
Re 0.4472 0.8943 0.5000
Re 0.1088 0.2176 0.5000
Re 0.3381 0.6763 0.0000
Mn 0.9991 0.9981 0.0000

Calculated values
- Energy above the lowest structure with this stoichiometry: 1 meV/atom
- Electronic total energy: -11.86 eV per atom
- Formation enthalpy at 0 K: 0.255 eV per formula unit

---

Entry 6:
VASP calculation (PBE) on Mn2Re after structural relaxation.

a = 4.6608 Å, b = 4.6608 Å, c = 7.6548 Å
α = 90.00°, β = 90.00°, γ = 120.00°
Fractional positions:
Re 0.6667 0.3333 0.9321
Re 0.3333 0.6667 0.0679
Re 0.3333 0.6667 0.4321
Re 0.6667 0.3333 0.5679
Mn 0.8263 0.1737 0.2500
Mn 0.0000 0.0000 0.5000
Mn 0.6525 0.8263 0.7500
Mn 0.8263 0.6525 0.2500
Mn 0.0000 0.0000 0.0000
Mn 0.1737 0.8263 0.7500
Mn 0.1737 0.3475 0.7500
Mn 0.3475 0.1737 0.2500

Calculated values
- Electronic total energy: -10.39 eV per atom
- Formation enthalpy at 0 K: -0.370 eV per formula unit

---

Entry 7:
VASP calculation (PBE) on Mn5Re after structural relaxation.

a = 6.7186 Å, b = 6.7186 Å, c = 4.1190 Å
α = 90.00°, β = 90.00°, γ = 157.91°
Fractional positions:
Mn 0.3282 0.6718 0.0000
Mn 0.0064 0.9936 0.0000
Mn 0.6686 0.3314 0.0000
Mn 0.5610 0.4390 0.5000
Mn 0.2137 0.7863 0.5000
Re 0.8887 0.1113 0.5000

Calculated values
- Energy above the lowest structure with this stoichiometry: 71 meV/atom
- Electronic total energy: -9.63 eV per atom
- Formation enthalpy at 0 K: 0.537 eV per formula unit

---

Entry 8:
VASP calculation (PBE) on Mn3Re after structural relaxation.

a = 2.5948 Å, b = 7.3635 Å, c = 2.5948 Å
α = 90.00°, β = 90.06°, γ = 90.00°
Fractional positions:
Re 0.5000 0.2500 0.5000
Mn 0.0000 0.9807 0.0000
Mn 0.0000 0.5193 0.0000
Mn 0.5000 0.7500 0.5000

Calculated values
- Electronic total energy: -9.92 eV per atom
- Formation enthalpy at 0 K: 0.286 eV per formula unit

---

For the records above, the corresponding calculated volume values read 37.1 48.7 49.6 119.7 86.5 144.0 69.9 49.6 Å³ per cell.